Below is an optimized crystal structure of Ac2TbTe, with properties calculated at the PBE-GGA level.

* N(E_F): 0.909 states/eV/atom
* relative energy among the computed polymorphs: 0 meV/atom
* size of the total moment: 0.0 μB per cell
* formation energy (no corrections): -547 meV per atom
* crystal system: tetragonal
* VASP energy: -18.2 eV per cell

Cell: 4.1018 4.1018 8.9363 Å, 90.00 90.00 90.00°
Sites, in units of the cell vectors:
Ac 0.0000 0.0000 0.7757
Ac 0.0000 0.0000 0.2243
Te 0.5000 0.5000 0.0000
Tb 0.5000 0.5000 0.5000